SrPrSiAg after structural relaxation. Source: Alexandria, functional GGA-PBE.

## Properties
- Mass density: 5.607 g/cm³
- Formation energy without anion corrections: -0.3404 eV/atom

Lattice parameters (Å, degrees): 7.558 7.558 7.558 90.00 90.00 90.00
Space group F-43m (No. 216)
Unique sites:
1 Sr 0.000 0.000 0.000 x4
2 Pr 0.000 0.000 0.500 x4
3 Si 0.250 0.250 0.250 x4
4 Ag 0.250 0.250 0.750 x4

Tl3NiPt after structural relaxation. Source: Alexandria, functional GGA-PBE.

## Properties
- Mass density: 11.505 g/cm³
- Energy of formation: 0.40 eV/atom
- Distance to the lowest polymorph of the same formula: 0.0 meV per atom

Lattice parameters (Å, degrees): 5.002 5.002 5.002 90.00 90.00 90.00
Space group Pm-3m (No. 221)
Unique sites:
1 Tl 0.000 0.000 0.500 x3
2 Ni 0.000 0.000 0.000 x1
3 Pt 0.500 0.500 0.500 x1